Material: Li2MgVAs
Method: DFT, PBE
State: optimized geometry

Summary:
- ΔE_f (eV/f.u.) = 4.63
- N(E_F) (states/eV/cell) = 3.4

a = 4.738 Å, b = 4.738 Å, c = 5.180 Å
α = 90.00°, β = 90.00°, γ = 90.00°
Fractional positions:
Li 0.000 0.500 0.000
Li 0.500 0.000 0.000
Mg 0.000 0.000 0.500
V 0.000 0.000 0.000
As 0.500 0.500 0.500

Material: LiMgAs2W
Method: DFT, PBE
State: optimized geometry

Summary:
- ΔE_f (eV/f.u.) = 6.55
- N(E_F) (states/eV/cell) = 3.0

a = 4.942 Å, b = 4.942 Å, c = 5.024 Å
α = 90.00°, β = 90.00°, γ = 90.00°
Fractional positions:
Li 0.000 0.000 0.000
Mg 0.500 0.500 0.500
As 0.000 0.500 0.500
As 0.500 0.000 0.500
W 0.500 0.500 0.000

Material: LiYMgAs2
Method: DFT, PBE
State: optimized geometry

Summary:
- ΔE_f (eV/f.u.) = -0.73
- N(E_F) (states/eV/cell) = 2.2

a = 5.034 Å, b = 5.034 Å, c = 4.412 Å
α = 90.00°, β = 90.00°, γ = 90.00°
Fractional positions:
Li 0.000 0.000 0.000
Y 0.500 0.500 0.000
Mg 0.000 0.000 0.500
As 0.000 0.500 0.500
As 0.500 0.000 0.500

Material: LiMnAs2
Method: DFT, PBE
State: optimized geometry

Summary:
- ΔE_f (eV/f.u.) = -0.89
- energy above the lowest structure with this stoichiometry (meV/atom) = 90
- N(E_F) (states/eV/cell) = 1.7

a = 2.977 Å, b = 2.977 Å, c = 7.512 Å
α = 90.00°, β = 90.00°, γ = 103.99°
Fractional positions:
Li 0.000 0.000 0.000
Mn 0.000 0.000 0.500
As 0.500 0.500 0.269
As 0.500 0.500 0.731

Material: LiMnAs2
Method: DFT, PBE
State: optimized geometry

Summary:
- ΔE_f (eV/f.u.) = -0.55
- energy above the lowest structure with this stoichiometry (meV/atom) = 175
- N(E_F) (states/eV/cell) = 2.3

a = 3.546 Å, b = 3.546 Å, c = 5.093 Å
α = 90.00°, β = 90.00°, γ = 90.00°
Fractional positions:
Li 0.000 0.000 0.000
Mn 0.500 0.500 0.344
As 0.000 0.000 0.489
As 0.500 0.500 0.854

Material: LiMnAs2
Method: DFT, PBE
State: optimized geometry

Summary:
- ΔE_f (eV/f.u.) = -0.63
- energy above the lowest structure with this stoichiometry (meV/atom) = 154
- N(E_F) (states/eV/cell) = 1.5

a = 4.477 Å, b = 4.477 Å, c = 4.477 Å
α = 60.00°, β = 60.00°, γ = 60.00°
Fractional positions:
Li 0.000 0.000 0.000
Mn 0.500 0.500 0.500
As 0.250 0.250 0.250
As 0.750 0.750 0.750

Material: Li2MnAs
Method: DFT, PBE
State: optimized geometry

Summary:
- ΔE_f (eV/f.u.) = 0.37
- N(E_F) (states/eV/cell) = 3.9

a = 9.064 Å, b = 9.064 Å, c = 9.064 Å
α = 18.53°, β = 18.53°, γ = 18.53°
Fractional positions:
Li 0.243 0.243 0.243
Li 0.757 0.757 0.757
Mn 0.000 0.000 0.000
As 0.500 0.500 0.500

Material: Li3MnAs2
Method: DFT, PBE
State: optimized geometry

Summary:
- ΔE_f (eV/f.u.) = -2.95
- N(E_F) (states/eV/cell) = 3.2

a = 4.234 Å, b = 4.234 Å, c = 11.993 Å
α = 90.00°, β = 90.00°, γ = 90.00°
Fractional positions:
Li 0.250 0.750 0.004
Li 0.250 0.750 0.250
Li 0.250 0.750 0.496
Li 0.750 0.250 0.504
Li 0.750 0.250 0.750
Li 0.750 0.250 0.996
Mn 0.250 0.750 0.750
Mn 0.750 0.250 0.250
As 0.250 0.250 0.134
As 0.250 0.250 0.634
As 0.750 0.750 0.366
As 0.750 0.750 0.866